(1)
Below is an optimized crystal structure of Sr2AcAl4, with properties calculated at the PBE-GGA level.

a = 4.5426 Å, b = 4.7201 Å, c = 20.2389 Å
α = 90.00°, β = 90.00°, γ = 90.00°
Last column: nearest neighbours and their distance in Å.
Space group Immm (No. 71)
Asymmetric unit:
Sr: 0.0000 0.0000 0.1855 [4 per cell]  7 Al 3.40-3.69
Ac: 0.0000 0.5000 0.5000 [2 per cell]  12 Al 3.53-3.57
Al: 0.0000 0.0000 0.3680 [4 per cell]  2 Al 2.65
Al: 0.0000 0.5000 0.0645 [4 per cell]  3 Al 2.61-2.65

Results
* E_tot: -48.6 eV for the cell shown
* ρ: 3.9 g/cm³
* ΔE_f: -0.268 eV/atom
* crystal system: orthorhombic
* DOS at the Fermi energy: 0.91 states/eV/atom

---

(2)
Below is an optimized crystal structure of SrAcAl, with properties calculated at the PBE-GGA level.

a = 5.5431 Å, b = 5.5431 Å, c = 4.0361 Å
α = 90.00°, β = 90.00°, γ = 120.00°
Last column: nearest neighbours and their distance in Å.
Space group P3m1 (No. 156)
Asymmetric unit:
Sr: 0.0000 0.0000 0.0000 [1 per cell]  3 Al 3.38, 3 Ac 3.66
Ac: 0.6667 0.3333 0.4424 [1 per cell]  3 Al 3.40, 3 Sr 3.66
Al: 0.3333 0.6667 0.7285 [1 per cell]  3 Sr 3.38, 3 Ac 3.40

Results
* E_tot: -9.4 eV for the cell shown
* ρ: 5.3 g/cm³
* E above lowest polymorph: 0.214 eV per atom
* ΔE_f: 0.044 eV/atom
* crystal system: trigonal
* DOS at the Fermi energy: 0.69 states/eV/atom

---

(3)
Below is an optimized crystal structure of SrAcAl, with properties calculated at the PBE-GGA level.

a = 7.8721 Å, b = 7.8721 Å, c = 7.8721 Å
α = 90.00°, β = 90.00°, γ = 90.00°
Last column: nearest neighbours and their distance in Å.
Space group F-43m (No. 216)
Asymmetric unit:
Sr: 0.0000 0.0000 0.0000 [4 per cell]  4 Al 3.41
Ac: 0.0000 0.0000 0.5000 [4 per cell]  4 Al 3.41
Al: 0.2500 0.2500 0.7500 [4 per cell]  4 Ac 3.41, 4 Sr 3.41

Results
* E_tot: -38.0 eV for the cell shown
* ρ: 4.7 g/cm³
* E above lowest polymorph: 0.182 eV per atom
* ΔE_f: 0.012 eV/atom
* crystal system: cubic
* DOS at the Fermi energy: 1.02 states/eV/atom

---

(4)
Below is an optimized crystal structure of Sr2AcAl9, with properties calculated at the PBE-GGA level.

a = 5.8653 Å, b = 5.8653 Å, c = 27.0133 Å
α = 90.00°, β = 90.00°, γ = 120.00°
Last column: nearest neighbours and their distance in Å.
Space group R-3m (No. 166, hexagonal axes)
Asymmetric unit:
Sr: 0.0000 0.0000 0.1421 [6 per cell]  12 Al 3.38-3.45, 3 Sr 3.64
Ac: 0.0000 0.0000 0.0000 [3 per cell]  18 Al 3.39-3.64
Al: 0.0000 0.0000 0.3354 [6 per cell]  6 Al 2.73-2.77
Al: 0.0000 0.0000 0.5000 [3 per cell]  6 Al 2.91
Al: 0.0067 0.5034 0.9199 [18 per cell]  7 Al 2.73-2.99

Results
* E_tot: -132.7 eV for the cell shown
* ρ: 4.0 g/cm³
* ΔE_f: -0.257 eV/atom
* crystal system: trigonal
* DOS at the Fermi energy: 0.60 states/eV/atom

---

(5)
Below is an optimized crystal structure of SrAc2Al6, with properties calculated at the PBE-GGA level.

a = 7.8220 Å, b = 7.8220 Å, c = 4.7423 Å
α = 90.00°, β = 90.00°, γ = 120.00°
Last column: nearest neighbours and their distance in Å.
Space group P6/mmm (No. 191)
Asymmetric unit:
Sr: 0.0000 0.0000 0.0000 [1 per cell]  12 Al 3.53
Ac: 0.3333 0.6667 0.0000 [2 per cell]  12 Al 3.52
Al: 0.0000 0.3347 0.5000 [6 per cell]  3 Al 2.59-2.62

Results
* E_tot: -35.4 eV for the cell shown
* ρ: 4.6 g/cm³
* ΔE_f: -0.337 eV/atom
* crystal system: hexagonal
* DOS at the Fermi energy: 0.75 states/eV/atom

---

(6)
Below is an optimized crystal structure of SrAcAlTl, with properties calculated at the PBE-GGA level.

a = 8.0945 Å, b = 8.0945 Å, c = 8.0945 Å
α = 90.00°, β = 90.00°, γ = 90.00°
Last column: nearest neighbours and their distance in Å.
Space group F-43m (No. 216)
Asymmetric unit:
Sr: 0.0000 0.0000 0.0000 [4 per cell]  4 Tl 3.51, 4 Al 3.51
Ac: 0.0000 0.0000 0.5000 [4 per cell]  4 Tl 3.51, 4 Al 3.51
Al: 0.2500 0.2500 0.2500 [4 per cell]  4 Ac 3.51, 4 Sr 3.51
Tl: 0.2500 0.2500 0.7500 [4 per cell]  4 Ac 3.51, 4 Sr 3.51

Results
* E_tot: -51.6 eV for the cell shown
* ρ: 6.8 g/cm³
* ΔE_f: -0.253 eV/atom
* crystal system: cubic
* DOS at the Fermi energy: 0.87 states/eV/atom

---

(7)
Below is an optimized crystal structure of AcTb2Al9, with properties calculated at the PBE-GGA level.

a = 5.6943 Å, b = 5.6943 Å, c = 26.4393 Å
α = 90.00°, β = 90.00°, γ = 120.00°
Last column: nearest neighbours and their distance in Å.
Space group R-3m (No. 166, hexagonal axes)
Asymmetric unit:
Ac: 0.0000 0.0000 0.0000 [3 per cell]  18 Al 3.29-3.62
Tb: 0.0000 0.0000 0.1417 [6 per cell]  12 Al 3.22-3.35, 3 Tb 3.54
Al: 0.0000 0.0000 0.3361 [6 per cell]  6 Al 2.74-2.81
Al: 0.0000 0.0000 0.5000 [3 per cell]  6 Al 2.75
Al: 0.0084 0.5042 0.9154 [18 per cell]  7 Al 2.74-2.92

Results
* E_tot: -155.0 eV for the cell shown
* ρ: 5.3 g/cm³
* ΔE_f: -0.385 eV/atom
* crystal system: trigonal
* DOS at the Fermi energy: 0.40 states/eV/atom

---

(8)
Below is an optimized crystal structure of AcTbAl2, with properties calculated at the PBE-GGA level.

a = 3.8084 Å, b = 3.8084 Å, c = 7.4955 Å
α = 90.00°, β = 90.00°, γ = 90.00°
Last column: nearest neighbours and their distance in Å.
Space group P4/mmm (No. 123)
Asymmetric unit:
Ac: 0.0000 0.0000 0.0000 [1 per cell]  8 Al 3.44, 2 Tb 3.75, 4 Ac 3.81
Tb: 0.0000 0.0000 0.5000 [1 per cell]  8 Al 3.14
Al: 0.5000 0.5000 0.2858 [2 per cell]  4 Tb 3.14, 1 Al 3.21, 4 Ac 3.44

Results
* E_tot: -17.4 eV for the cell shown
* ρ: 6.7 g/cm³
* ΔE_f: -0.303 eV/atom
* crystal system: tetragonal
* DOS at the Fermi energy: 0.56 states/eV/atom

---

(9)
Below is an optimized crystal structure of Ac2TbAl9, with properties calculated at the PBE-GGA level.

a = 5.7765 Å, b = 5.7765 Å, c = 27.2175 Å
α = 90.00°, β = 90.00°, γ = 120.00°
Last column: nearest neighbours and their distance in Å.
Space group R-3m (No. 166, hexagonal axes)
Asymmetric unit:
Ac: 0.0000 0.0000 0.1409 [6 per cell]  12 Al 3.35-3.50, 3 Ac 3.62
Tb: 0.0000 0.0000 0.0000 [3 per cell]  18 Al 3.34-3.60
Al: 0.0000 0.0000 0.3347 [6 per cell]  6 Al 2.70-2.73
Al: 0.0000 0.0000 0.5000 [3 per cell]  6 Al 2.93
Al: 0.0056 0.5028 0.9212 [18 per cell]  7 Al 2.70-2.94

Results
* E_tot: -149.5 eV for the cell shown
* ρ: 5.4 g/cm³
* ΔE_f: -0.274 eV/atom
* crystal system: trigonal
* DOS at the Fermi energy: 0.44 states/eV/atom

---

(10)
Below is an optimized crystal structure of AcTbAl2, with properties calculated at the PBE-GGA level.

a = 3.7967 Å, b = 3.7967 Å, c = 28.5819 Å
α = 90.00°, β = 90.00°, γ = 120.00°
Last column: nearest neighbours and their distance in Å.
Space group R-3m (No. 166, hexagonal axes)
Asymmetric unit:
Ac: 0.0000 0.0000 0.0000 [3 per cell]  6 Al 3.36
Tb: 0.0000 0.0000 0.5000 [3 per cell]  6 Al 3.12
Al: 0.0000 0.0000 0.2441 [6 per cell]  3 Tb 3.12, 3 Ac 3.36

Results
* E_tot: -49.1 eV for the cell shown
* ρ: 6.1 g/cm³
* ΔE_f: -0.033 eV/atom
* crystal system: trigonal
* DOS at the Fermi energy: 0.69 states/eV/atom

---

(11)
Below is an optimized crystal structure of Ac3TbAl8, with properties calculated at the PBE-GGA level.

a = 5.8324 Å, b = 5.8324 Å, c = 28.5980 Å
α = 90.00°, β = 90.00°, γ = 120.00°
Last column: nearest neighbours and their distance in Å.
Space group R3m (No. 160, hexagonal axes)
Asymmetric unit:
Ac: 0.0000 0.0000 0.0000 [3 per cell]  12 Al 3.36-3.42, 3 Tb 3.57, 1 Ac 3.58
Ac: 0.0000 0.0000 0.1253 [3 per cell]  12 Al 3.42-3.47, 4 Ac 3.57-3.58
Ac: 0.0000 0.0000 0.5002 [3 per cell]  12 Al 3.42-3.48, 3 Ac 3.57, 1 Tb 3.58
Tb: 0.0000 0.0000 0.6255 [3 per cell]  12 Al 3.36-3.42, 4 Ac 3.57-3.58
Al: 0.0000 0.0000 0.3120 [3 per cell]  6 Al 2.86-2.89
Al: 0.0000 0.0000 0.8134 [3 per cell]  6 Al 2.95-2.98
Al: 0.0009 0.5005 0.5647 [9 per cell]  6 Al 2.86-2.95
Al: 0.1675 0.3350 0.3938 [9 per cell]  6 Al 2.89-2.98

Results
* E_tot: -154.3 eV for the cell shown
* ρ: 6.2 g/cm³
* ΔE_f: -0.378 eV/atom
* crystal system: trigonal
* DOS at the Fermi energy: 0.58 states/eV/atom

---

(12)
Below is an optimized crystal structure of AcTbThAl, with properties calculated at the PBE-GGA level.

a = 7.8619 Å, b = 7.8619 Å, c = 7.8619 Å
α = 90.00°, β = 90.00°, γ = 90.00°
Last column: nearest neighbours and their distance in Å.
Space group F-43m (No. 216)
Asymmetric unit:
Ac: 0.0000 0.0000 0.0000 [4 per cell]  4 Tb 3.40, 4 Th 3.40
Tb: 0.2500 0.2500 0.2500 [4 per cell]  4 Ac 3.40, 4 Al 3.40
Th: 0.2500 0.2500 0.7500 [4 per cell]  4 Ac 3.40, 4 Al 3.40
Al: 0.0000 0.0000 0.5000 [4 per cell]  4 Tb 3.40, 4 Th 3.40

Results
* E_tot: -77.7 eV for the cell shown
* ρ: 8.8 g/cm³
* ΔE_f: 0.122 eV/atom
* crystal system: cubic
* DOS at the Fermi energy: 1.29 states/eV/atom

---

no.,V (Å³/cell)
1,434
2,107
3,488
4,805
5,251
6,530
7,742
8,109
9,787
10,357
11,842
12,486